The following is a PBE calculation of a relaxed structure of PrZn2Ge2, from Alexandria. Values from VASP.

Computed properties:
N(E_F) ... 1.775 states/eV/f.u.
Energy of formation from the pure elements ... -0.3715 eV per atom

```
&SYSTEM
  ibrav = 0, nat = 5, ntyp = 3
/
ATOMIC_SPECIES
Pr 140.91 Pr.upf
Zn 65.41 Zn.upf
Ge 72.64 Ge.upf
CELL_PARAMETERS angstrom
4.1721 0.0000 0.0000
0.0000 4.1721 0.0000
0.0000 0.0000 5.7579
ATOMIC_POSITIONS crystal
Pr 0.0000 0.0000 0.0000
Zn 0.0000 0.5000 0.5000
Zn 0.5000 0.0000 0.5000
Ge 0.5000 0.5000 0.2166
Ge 0.5000 0.5000 0.7834
```